Here is a geometry-optimized ZrSn2Ru structure from the Alexandria database. Energies are from GGA-PBE.

a = 4.9523 Å, b = 4.9523 Å, c = 4.9523 Å
α = 60.00°, β = 60.00°, γ = 60.00°
Last column: nearest neighbours and their distance in Å.
Sites, in units of the cell vectors:
1 Ru 0.5000 0.5000 0.5000  8 Sn 3.03
2 Sn 0.2500 0.2500 0.2500  4 Zr 3.03, 4 Ru 3.03
3 Sn 0.7500 0.7500 0.7500  4 Zr 3.03, 4 Ru 3.03
4 Zr 0.0000 0.0000 0.0000  8 Sn 3.03

Summary:
- energy of formation (eV per atom) = -0.023